This record from Alexandria via LeMat-Bulk describes a relaxed Rb2ZrTeF6 crystal. The functional is GGA-PBE.

a b c (Å): 7.714 7.714 8.691
angles (deg): 90.00 90.00 90.00
Space group I4/mmm (No. 139)
One atom of each set of equivalent atoms:
Rb1 0.000 0.500 0.250 [4 per cell]
Zr1 0.000 0.000 0.000 [2 per cell]
Te1 0.000 0.000 0.500 [2 per cell]
F1 0.000 0.000 0.238 [4 per cell]
F2 0.185 0.185 0.000 [8 per cell]

Summary:
DFT total energy ... -5.211 eV per atom
Formation energy (no corrections) ... -2.7259 eV per atom

---

This record from Alexandria via LeMat-Bulk describes a relaxed RbPS2 crystal. The functional is GGA-PBE.

a b c (Å): 4.589 5.153 6.202
angles (deg): 79.90 78.41 88.63
Space group P1 (No. 1)
One atom of each set of equivalent atoms:
Rb1 0.000 0.000 0.000 [1 per cell]
P1 0.582 0.615 0.559 [1 per cell]
S1 0.372 0.946 0.461 [1 per cell]
S2 0.527 0.523 0.894 [1 per cell]

Summary:
DFT total energy ... -4.268 eV per atom
Formation energy (no corrections) ... -0.6101 eV per atom

---

This record from Alexandria via LeMat-Bulk describes a relaxed Na2In2I crystal. The functional is GGA-PBE.

a b c (Å): 4.799 4.799 14.963
angles (deg): 90.00 90.00 90.00
Space group I4/mmm (No. 139)
One atom of each set of equivalent atoms:
Na1 0.000 0.500 0.250 [4 per cell]
In1 0.000 0.000 0.095 [4 per cell]
I1 0.000 0.000 0.500 [2 per cell]

Summary:
DFT total energy ... -2.007 eV per atom
Formation energy (no corrections) ... -0.0735 eV per atom

---

This record from Alexandria via LeMat-Bulk describes a relaxed NdCdPdPt crystal. The functional is GGA-PBE.

a b c (Å): 6.926 6.926 6.926
angles (deg): 90.00 90.00 90.00
Space group F-43m (No. 216)
One atom of each set of equivalent atoms:
Nd1 0.000 0.000 0.000 [4 per cell]
Cd1 0.000 0.000 0.500 [4 per cell]
Pd1 0.250 0.250 0.750 [4 per cell]
Pt1 0.250 0.250 0.250 [4 per cell]

Summary:
ΔE_f ... -712 meV per atom
DFT total energy ... -4.941 eV per atom

---

This record from Alexandria via LeMat-Bulk describes a relaxed Sm2ErRu crystal. The functional is GGA-PBE.

a b c (Å): 7.345 9.423 6.359
angles (deg): 90.00 90.00 90.00
Space group Pnma (No. 62)
One atom of each set of equivalent atoms:
Sm1 0.178 0.065 0.170 [8 per cell]
Er1 0.043 0.250 0.641 [4 per cell]
Ru1 0.115 0.750 0.964 [4 per cell]

Summary:
ΔE_f ... -267 meV per atom
DFT total energy ... -6.086 eV per atom
E above lowest polymorph ... 0 meV per atom

---

This record from Alexandria via LeMat-Bulk describes a relaxed Al2SiTe crystal. The functional is GGA-PBE.

a b c (Å): 6.892 6.892 6.892
angles (deg): 90.00 90.00 90.00
Space group F-43m (No. 216)
One atom of each set of equivalent atoms:
Al1 0.000 0.000 0.000 [4 per cell]
Al2 0.250 0.250 0.250 [4 per cell]
Si1 0.250 0.250 0.750 [4 per cell]
Te1 0.000 0.000 0.500 [4 per cell]

Summary:
DFT total energy ... -3.575 eV per atom
E above lowest polymorph ... 580 meV per atom
Formation energy (no corrections) ... 0.4375 eV per atom

---

This record from Alexandria via LeMat-Bulk describes a relaxed Na4Pb2Br9 crystal. The functional is GGA-PBE.

a b c (Å): 7.5444 7.5444 20.3364
angles (deg): 90.00 90.00 120.00
Space group P-3c1 (No. 165)
One atom of each set of equivalent atoms:
Na1 0.3333 0.6667 0.1794 [4 per cell]
Na2 0.3333 0.6667 0.4842 [4 per cell]
Pb1 0.0000 0.0000 0.1496 [4 per cell]
Br1 0.0000 0.3060 0.2500 [6 per cell]
Br2 0.0267 0.3583 0.5836 [12 per cell]

Summary:
DFT total energy ... -3.006 eV per atom
Formation energy (no corrections) ... -1.1563 eV per atom

---

This record from Alexandria via LeMat-Bulk describes a relaxed AsIrAuBr2 crystal. The functional is GGA-PBE.

a b c (Å): 5.289 5.289 4.609
angles (deg): 90.00 90.00 90.00
Space group P4/mmm (No. 123)
One atom of each set of equivalent atoms:
As1 0.000 0.000 0.000 [1 per cell]
Ir1 0.000 0.000 0.500 [1 per cell]
Au1 0.500 0.500 0.000 [1 per cell]
Br1 0.000 0.500 0.500 [2 per cell]

Summary:
DFT total energy ... -3.446 eV per atom
E above lowest polymorph ... 0 meV per atom
Formation energy (no corrections) ... 0.5806 eV per atom

---

Q: Number 8 is which compound?
A: AsIrAuBr2

---

What did the first record say?
This record from Alexandria via LeMat-Bulk describes a relaxed Rb2ZrTeF6 crystal. The functional is GGA-PBE.

a b c (Å): 7.714 7.714 8.691
angles (deg): 90.00 90.00 90.00
Space group I4/mmm (No. 139)
One atom of each set of equivalent atoms:
Rb1 0.000 0.500 0.250 [4 per cell]
Zr1 0.000 0.000 0.000 [2 per cell]
Te1 0.000 0.000 0.500 [2 per cell]
F1 0.000 0.000 0.238 [4 per cell]
F2 0.185 0.185 0.000 [8 per cell]

Summary:
DFT total energy ... -5.211 eV per atom
Formation energy (no corrections) ... -2.7259 eV per atom

---

Q: What is the DFT total energy in the eighth record?
A: -3.446 eV per atom

---

Q: Look up the DFT total energy of the sixth one.
A: -3.575 eV per atom